DFT (GGA-PBE) results for an optimized crystal structure of La8InIr2.

Values from the calculation:
Energy of formation from the pure elements = -0.38 eV/atom
Raw total energy = -5.82 eV per atom

Cell lengths 8.889, 14.269, 5.724 Å; angles 90.00, 103.77, 90.00 degrees
Space group C2/m (No. 12)
One atom of each set of equivalent atoms:
La: 0.000 0.250 0.000 (multiplicity 4)
La: 0.097 0.000 0.799 (multiplicity 4)
La: 0.206 0.376 0.553 (multiplicity 8)
In: 0.000 0.500 0.000 (multiplicity 2)
Ir: 0.000 0.209 0.500 (multiplicity 4)

***

DFT (GGA-PBE) results for an optimized crystal structure of LaInIr.

Values from the calculation:
Energy of formation from the pure elements = -0.67 eV/atom
Raw total energy = -6.18 eV per atom

Cell lengths 7.637, 4.271, 12.970 Å; angles 90.00, 90.91, 90.00 degrees
Space group P2_1/m (No. 11)
One atom of each set of equivalent atoms:
La: 0.040 0.250 0.124 (multiplicity 2)
La: 0.160 0.250 0.419 (multiplicity 2)
La: 0.452 0.750 0.786 (multiplicity 2)
In: 0.122 0.250 0.703 (multiplicity 2)
In: 0.359 0.750 0.043 (multiplicity 2)
In: 0.496 0.750 0.414 (multiplicity 2)
Ir: 0.245 0.750 0.251 (multiplicity 2)
Ir: 0.255 0.250 0.916 (multiplicity 2)
Ir: 0.257 0.750 0.587 (multiplicity 2)

***

DFT (GGA-PBE) results for an optimized crystal structure of La2InIr.

Values from the calculation:
Energy of formation from the pure elements = -0.41 eV/atom
Raw total energy = -5.77 eV per atom

Cell lengths 7.233, 7.233, 7.233 Å; angles 90.00, 90.00, 90.00 degrees
Space group F-43m (No. 216)
One atom of each set of equivalent atoms:
La: 0.000 0.000 0.000 (multiplicity 4)
La: 0.250 0.250 0.250 (multiplicity 4)
In: 0.250 0.250 0.750 (multiplicity 4)
Ir: 0.000 0.000 0.500 (multiplicity 4)